one | Nd8Sm3Y2 after structural relaxation, computed with PBE.

Calculated values
The value obtained for the calculated volume is 35.7 Å³/atom.

POSCAR file:
```
Nd8Sm3Y2
1.0
10.296 -3.874 0.000
10.296 3.874 0.000
-0.002 0.000 5.815
Nd Sm Y
8 3 2
direct
0.101 0.686 0.000 Nd
0.172 0.172 0.501 Nd
0.314 0.899 0.000 Nd
0.367 0.367 0.500 Nd
0.633 0.633 0.500 Nd
0.686 0.101 0.000 Nd
0.828 0.828 0.499 Nd
0.899 0.314 0.000 Nd
0.214 0.786 0.500 Sm
0.500 0.500 0.000 Sm
0.786 0.214 0.500 Sm
0.259 0.259 0.001 Y
0.741 0.741 0.999 Y
```


two | Nd8Sm3Y2 after structural relaxation, computed with PBE.

Calculated values
The value obtained for the calculated volume is 34.9 Å³/atom.

POSCAR file:
```
Nd8Sm3Y2
1.0
7.436 -5.540 0.000
7.436 5.540 0.000
-1.854 0.000 5.513
Nd Sm Y
8 3 2
direct
0.076 0.076 0.236 Nd
0.101 0.560 0.836 Nd
0.335 0.335 0.374 Nd
0.440 0.899 0.164 Nd
0.560 0.101 0.836 Nd
0.665 0.665 0.626 Nd
0.899 0.440 0.164 Nd
0.924 0.924 0.764 Nd
0.251 0.749 0.500 Sm
0.500 0.500 0.000 Sm
0.749 0.251 0.500 Sm
0.171 0.171 0.800 Y
0.829 0.829 0.200 Y
```


It turns out two is the most stable, with the second structure 3.0 kJ/mol of atoms higher.


one | NdSmY4 after structural relaxation, computed with PBE.

Calculated values
The value obtained for the calculated volume is 33.9 Å³/atom.

POSCAR file:
```
NdSmY4
1.0
3.442 0.000 0.000
0.000 9.934 0.000
-0.014 0.000 5.947
Nd Sm Y
1 1 4
direct
0.000 0.000 0.000 Nd
0.500 0.500 0.500 Sm
0.000 0.187 0.500 Y
0.000 0.813 0.500 Y
0.500 0.315 0.000 Y
0.500 0.685 0.000 Y
```


two | NdSmY4 after structural relaxation, computed with PBE.

Calculated values
The value obtained for the calculated volume is 32.9 Å³/atom.

POSCAR file:
```
NdSmY4
1.0
5.419 -3.127 0.000
5.419 3.127 0.000
-3.605 0.000 11.659
Nd Sm Y
2 2 8
direct
0.000 0.500 0.000 Nd
0.500 0.000 0.500 Nd
0.082 0.918 0.250 Sm
0.918 0.082 0.750 Sm
0.167 0.666 0.500 Y
0.250 0.417 0.750 Y
0.334 0.833 0.000 Y
0.417 0.250 0.250 Y
0.583 0.750 0.750 Y
0.666 0.167 0.000 Y
0.750 0.583 0.250 Y
0.833 0.334 0.500 Y
```


It turns out two is the most stable, with the second structure 18.3 kJ/mol of atoms higher.